Entry from Alexandria: crystalline Sm6RuRh5 at its relaxed geometry (PBE). Values from VASP.

Output
The density of states at the Fermi level is 6.7 states/eV per cell. The total energy comes out at -81.97 eV per cell. As for the formation energy: -61 kJ per mole of atoms. For the size of the total moment, the calculation gives 0.00 μB/cell.

Geometry as Quantum ESPRESSO input:
```
&SYSTEM
  ibrav = 0, nat = 12, ntyp = 3
/
ATOMIC_SPECIES
Sm 150.36 Sm.upf
Ru 101.07 Ru.upf
Rh 102.91 Rh.upf
CELL_PARAMETERS angstrom
2.482 -7.443 0.000
2.482 7.443 0.000
0.000 0.000 6.935
ATOMIC_POSITIONS crystal
Sm 0.000 0.000 0.249
Sm 0.000 0.000 0.751
Sm 0.334 0.666 0.249
Sm 0.334 0.666 0.751
Sm 0.666 0.334 0.249
Sm 0.666 0.334 0.751
Ru 0.500 0.500 0.000
Rh 0.166 0.834 0.000
Rh 0.168 0.832 0.500
Rh 0.500 0.500 0.500
Rh 0.832 0.168 0.500
Rh 0.834 0.166 0.000
```